Entry 1:
DFT (PBE with a Hubbard U) results for an optimized crystal structure of LiScMoO5.

Summary:
Crystal system = monoclinic
M_tot = 0.00 Bohr magnetons per cell
Density = 3.4 Mg/m³
Calculated total energy = -7.27 eV/atom

POSCAR file:
```
LiScMoO5
1.0
-1.528 3.612 4.561
-3.716 -4.618 -1.022
6.109 -3.444 2.684
Sc O Mo Li
2 10 2 2
direct
0.000 0.000 0.000
0.000 0.000 0.500
0.973 0.350 0.149
0.578 0.793 0.939
0.793 0.578 0.439
0.422 0.207 0.061
0.027 0.650 0.851
0.930 0.070 0.750
0.070 0.930 0.250
0.207 0.422 0.561
0.650 0.027 0.351
0.350 0.973 0.649
0.289 0.711 0.750
0.711 0.289 0.250
0.745 0.255 0.750
0.255 0.745 0.250
```



Entry 2:
DFT (PBE with a Hubbard U) results for an optimized crystal structure of LiScMoO2.

Summary:
Crystal system = tetragonal
M_tot = 3.50 Bohr magnetons per cell
Density = 4.8 Mg/m³
Calculated total energy = -4.98 eV/atom

POSCAR file:
```
LiScMoO2
1.0
-1.418 -2.934 -2.162
1.983 -2.650 2.297
-3.095 -0.255 2.377
Mo Li Sc O
1 1 1 2
direct
0.500 0.500 0.500
0.000 0.000 0.000
0.000 0.500 0.000
0.500 0.000 0.000
0.000 0.000 0.500
```



Entry 3:
DFT (PBE with a Hubbard U) results for an optimized crystal structure of LiSiMo2O6.

Summary:
Crystal system = triclinic
M_tot = 5.00 Bohr magnetons per cell
Density = 4.9 Mg/m³
Calculated total energy = -7.13 eV/atom

POSCAR file:
```
LiSiMo2O6
1.0
5.105 -0.062 0.017
2.492 4.432 0.037
2.549 1.480 4.842
O Mo Li Si
6 2 1 1
direct
0.130 0.401 0.772
0.698 0.136 0.768
0.981 0.572 0.206
0.245 0.975 0.204
0.408 0.693 0.771
0.571 0.249 0.204
0.517 0.524 0.436
0.003 0.007 0.966
0.781 0.777 0.667
0.327 0.328 0.021
```



Entry 4:
DFT (PBE with a Hubbard U) results for an optimized crystal structure of LiSmMo2O8.

Summary:
Crystal system = tetragonal
M_tot = 0.00 Bohr magnetons per cell
Density = 4.4 Mg/m³
Calculated total energy = -7.15 eV/atom

POSCAR file:
```
LiSmMo2O8
1.0
6.194 0.057 0.000
-2.697 5.577 0.000
-1.749 -2.817 5.233
O Mo Sm Li
8 2 1 1
direct
0.389 0.077 0.312
0.923 0.235 0.312
0.923 0.611 0.688
0.765 0.077 0.688
0.339 0.534 0.194
0.339 0.145 0.806
0.466 0.661 0.806
0.855 0.661 0.194
0.750 0.250 0.500
0.500 0.500 0.000
0.250 0.750 0.500
0.000 0.000 0.000
```



Entry 5:
DFT (PBE with a Hubbard U) results for an optimized crystal structure of LiSm4Mo4O14.

Summary:
Crystal system = trigonal
M_tot = 9.00 Bohr magnetons per cell
Density = 6.7 Mg/m³
Calculated total energy = -7.62 eV/atom

POSCAR file:
```
LiSm4Mo4O14
1.0
-2.314 6.838 -1.994
-7.338 1.296 -0.757
-3.491 4.291 5.049
Mo O Li Sm
4 14 1 4
direct
0.002 0.487 0.008
0.487 0.008 0.002
0.005 0.005 0.005
0.008 0.002 0.487
0.661 0.073 0.096
0.331 0.907 0.338
0.073 0.096 0.661
0.668 0.679 0.085
0.375 0.375 0.375
0.900 0.348 0.917
0.907 0.338 0.331
0.626 0.626 0.626
0.917 0.900 0.348
0.679 0.085 0.668
0.085 0.668 0.679
0.338 0.331 0.907
0.096 0.661 0.073
0.348 0.917 0.900
0.874 0.874 0.874
0.999 0.492 0.513
0.501 0.501 0.501
0.513 0.999 0.492
0.492 0.513 0.999
```



Entry 6:
DFT (PBE with a Hubbard U) results for an optimized crystal structure of LiSmMo2O8.

Summary:
Crystal system = monoclinic
M_tot = 0.00 Bohr magnetons per cell
Density = 5.1 Mg/m³
Calculated total energy = -7.17 eV/atom

POSCAR file:
```
LiSmMo2O8
1.0
6.007 0.000 0.000
0.000 5.074 -0.017
0.000 4.230 10.209
O Mo Sm Li
16 4 2 2
direct
0.107 0.863 0.594
0.366 0.297 0.598
0.922 0.634 0.882
0.078 0.366 0.118
0.633 0.220 0.859
0.893 0.137 0.406
0.633 0.780 0.641
0.634 0.297 0.098
0.634 0.703 0.402
0.107 0.137 0.906
0.922 0.366 0.618
0.893 0.863 0.094
0.367 0.780 0.141
0.367 0.220 0.359
0.366 0.703 0.902
0.078 0.634 0.382
0.820 0.733 0.524
0.820 0.267 0.976
0.180 0.733 0.024
0.180 0.267 0.476
0.294 0.500 0.750
0.706 0.500 0.250
0.227 0.000 0.250
0.773 0.000 0.750
```



Entry 7:
DFT (PBE with a Hubbard U) results for an optimized crystal structure of LiSm4Mo4O14.

Summary:
Crystal system = triclinic
M_tot = 9.00 Bohr magnetons per cell
Density = 6.7 Mg/m³
Calculated total energy = -7.65 eV/atom

POSCAR file:
```
LiSm4Mo4O14
1.0
-6.503 -3.611 -0.773
-1.284 -6.158 4.059
-5.031 0.268 5.566
Mo O Li Sm
4 14 1 4
direct
0.498 0.497 0.003
0.997 0.999 0.999
0.498 0.003 0.005
0.502 0.002 0.494
0.101 0.633 0.635
0.867 0.375 0.379
0.844 0.927 0.895
0.588 0.086 0.658
0.838 0.324 0.914
0.162 0.667 0.092
0.412 0.344 0.331
0.173 0.095 0.655
0.418 0.890 0.352
0.825 0.905 0.333
0.599 0.665 0.676
0.151 0.083 0.105
0.611 0.660 0.058
0.401 0.351 0.908
0.739 0.770 0.750
0.009 0.470 0.009
0.016 0.504 0.476
0.498 0.488 0.517
0.030 0.004 0.498
```



Entry 8:
DFT (PBE with a Hubbard U) results for an optimized crystal structure of LiSnMo2O.

Summary:
Crystal system = tetragonal
M_tot = 9.85 Bohr magnetons per cell
Density = 4.0 Mg/m³
Calculated total energy = -4.06 eV/atom

POSCAR file:
```
LiSnMo2O
1.0
-3.371 -1.387 -4.466
-2.872 -1.543 2.647
-2.516 5.179 0.290
Sn Mo Li O
1 2 1 1
direct
0.000 0.000 0.000
0.000 0.000 0.500
0.500 0.000 0.000
0.500 0.500 0.500
0.000 0.500 0.000
```